1.
Here is La2Sm8Ga after structural relaxation from Alexandria. Energies are from PBE.

Properties
The calculation puts the formation enthalpy at 0 K at 0.00 eV per atom. The raw total energy comes out at -4.600 eV per atom.

```
La2Sm8Ga
1.0
9.000 -2.760 0.000
9.000 2.760 0.000
-2.634 0.000 7.281
La Sm Ga
2 8 1
Cartesian
2.914 0.000 1.186
12.453 0.000 6.095
-0.447 0.000 2.032
1.336 0.000 5.297
4.673 0.000 4.174
7.025 0.000 0.628
8.342 0.000 6.654
10.694 0.000 3.107
14.031 0.000 1.985
15.814 0.000 5.249
7.683 0.000 3.641
```

=====

2.
Here is Mg4Si3 after structural relaxation from Alexandria. Energies are from PBE.

Properties
For the relative energy among the computed polymorphs, the calculation gives 0.076 eV per atom. The calculation puts the uncorrected formation energy at 0.044 eV per atom. The raw total energy comes out at -3.192 eV per atom.

```
Mg4Si3
1.0
6.364 0.000 0.000
-2.052 7.120 0.000
-1.060 -1.506 12.084
Mg Si
16 12
Cartesian
0.000 0.000 0.000
-1.834 5.399 2.581
0.648 0.239 5.003
0.187 3.350 3.404
-0.424 2.990 9.536
1.076 0.196 10.435
-0.187 6.002 7.490
1.010 3.324 6.381
1.171 6.672 2.531
2.264 4.238 1.216
3.471 2.320 3.728
4.191 1.952 0.720
3.052 2.906 10.942
4.291 0.258 9.544
3.089 5.856 6.953
4.229 2.177 6.692
-0.571 0.862 2.701
-1.735 4.452 5.135
-2.276 5.033 9.412
-0.895 1.525 11.823
0.118 1.055 7.624
0.027 5.408 0.350
1.456 1.695 1.519
0.739 5.135 11.161
2.210 1.927 8.519
3.336 -0.085 5.266
1.756 4.502 8.938
2.252 4.879 4.432
```

=====

3.
Here is Hf3AsW after structural relaxation from Alexandria. Energies are from PBE.

Properties
For the relative energy among the computed polymorphs, the calculation gives 0.000 eV per atom. The calculation puts the formation enthalpy at 0 K at 0.62 eV per atom. The raw total energy comes out at -8.871 eV per atom.

```
Hf3AsW
1.0
4.846 0.000 0.000
0.000 4.846 0.000
0.000 0.000 4.846
Hf As W
3 1 1
Cartesian
0.000 0.000 2.423
0.000 2.423 0.000
2.423 0.000 0.000
0.000 0.000 0.000
2.423 2.423 2.423
```

=====

4.
Here is BaMgCdIn2 after structural relaxation from Alexandria. Energies are from PBE.

Properties
The calculation puts the formation enthalpy at 0 K at -0.33 eV per atom. The raw total energy comes out at -2.307 eV per atom.

```
BaMgCdIn2
1.0
-2.454 2.454 6.208
2.454 -2.454 6.208
2.454 2.454 -6.208
Ba Mg Cd In
1 1 1 2
Cartesian
0.000 0.000 0.000
0.000 2.454 3.104
2.454 0.000 3.104
0.000 0.000 4.764
0.000 0.000 7.652
```

=====

5.
Here is K2CuHgP after structural relaxation from Alexandria. Energies are from PBE.

Properties
For the relative energy among the computed polymorphs, the calculation gives 0.000 eV per atom. The calculation puts the formation enthalpy at 0 K at -0.19 eV per atom. The raw total energy comes out at -2.587 eV per atom.

```
K2CuHgP
1.0
6.371 0.000 0.000
0.000 6.371 0.000
0.000 0.000 4.298
K Cu Hg P
2 1 1 1
Cartesian
0.000 3.185 0.000
3.185 0.000 0.000
0.000 0.000 2.149
3.185 3.185 2.149
0.000 0.000 0.000
```

=====

6.
Here is Si2Ru3W after structural relaxation from Alexandria. Energies are from PBE.

Properties
The calculation puts the uncorrected formation energy at -0.462 eV per atom. The raw total energy comes out at -9.067 eV per atom.

```
Si2Ru3W
1.0
2.888 0.000 0.000
0.000 2.888 0.000
0.000 0.000 9.631
Si Ru W
2 3 1
Cartesian
0.000 0.000 1.519
0.000 0.000 8.112
1.444 1.444 0.000
1.444 1.444 2.920
1.444 1.444 6.711
0.000 0.000 4.815
```

=====

7.
Here is Y2NpUC4 after structural relaxation from Alexandria. Energies are from PBE.

Properties
The calculation puts the formation enthalpy at 0 K at -0.18 eV per atom. The raw total energy comes out at -9.433 eV per atom.

```
Y2NpUC4
1.0
6.060 0.000 0.000
0.000 3.578 0.000
-2.058 0.000 5.836
Y Np U C
2 1 1 4
Cartesian
0.000 0.000 0.000
-1.029 1.789 2.918
2.001 0.000 2.918
3.030 1.789 0.000
1.199 1.789 1.503
0.185 0.000 4.445
3.817 0.000 1.391
2.804 1.789 4.333
```

=====

8.
Here is RuSeIN2 after structural relaxation from Alexandria. Energies are from PBE.

Properties
For the relative energy among the computed polymorphs, the calculation gives 0.988 eV per atom. The calculation puts the uncorrected formation energy at 1.943 eV per atom. The raw total energy comes out at -4.250 eV per atom.

```
RuSeIN2
1.0
3.793 0.000 0.000
0.000 3.793 0.000
0.000 0.000 7.373
Ru Se I N
1 1 1 2
Cartesian
0.000 0.000 0.000
1.896 1.896 3.687
1.896 1.896 0.000
0.000 1.896 3.687
1.896 0.000 3.687
```

=====

9.
Here is CsGaCuH2 after structural relaxation from Alexandria. Energies are from PBE.

Properties
The raw total energy comes out at -2.612 eV per atom.

```
CsGaCuH2
1.0
4.436 0.000 0.000
0.000 4.436 0.000
0.000 0.000 4.801
Cs Ga Cu H
1 1 1 2
Cartesian
0.000 0.000 0.000
2.218 2.218 2.401
2.218 2.218 0.000
0.000 2.218 2.401
2.218 0.000 2.401
```

=====

10.
Here is BaCa2InCo after structural relaxation from Alexandria. Energies are from PBE.

Properties
The calculation puts the formation enthalpy at 0 K at -0.04 eV per atom. The raw total energy comes out at -3.199 eV per atom.

```
BaCa2InCo
1.0
5.438 0.000 0.000
0.000 5.438 0.000
0.000 0.000 5.218
Ba Ca In Co
1 2 1 1
Cartesian
0.000 0.000 0.000
0.000 2.719 2.609
2.719 0.000 2.609
2.719 2.719 0.000
2.719 2.719 2.609
```

=====

11.
Here is Zn3NiPt after structural relaxation from Alexandria. Energies are from PBE.

Properties
For the relative energy among the computed polymorphs, the calculation gives 0.834 eV per atom. The calculation puts the formation enthalpy at 0 K at 0.49 eV per atom. The raw total energy comes out at -2.641 eV per atom.

```
Zn3NiPt
1.0
4.754 0.000 0.000
0.000 4.754 0.000
0.000 0.000 4.754
Zn Ni Pt
3 1 1
Cartesian
0.000 0.000 2.377
0.000 2.377 0.000
2.377 0.000 0.000
2.377 2.377 2.377
0.000 0.000 0.000
```

=====

12.
Here is ScTl after structural relaxation from Alexandria. Energies are from PBE.

Properties
The calculation puts the formation enthalpy at 0 K at -0.24 eV per atom. The raw total energy comes out at -4.592 eV per atom.

```
ScTl
1.0
10.212 0.000 0.000
0.000 8.900 0.000
0.000 0.000 6.337
Sc Tl
12 12
Cartesian
1.168 2.225 0.000
1.168 2.225 3.169
1.687 5.696 1.584
1.687 7.654 4.753
3.787 0.391 1.584
3.787 4.059 4.753
6.426 4.841 1.584
6.426 8.509 4.753
8.526 1.246 1.584
8.526 3.204 4.753
9.045 6.675 0.000
9.045 6.675 3.169
0.861 4.858 4.753
0.861 8.492 1.584
3.565 0.979 4.753
3.565 3.471 1.584
4.144 6.675 0.000
4.144 6.675 3.169
6.069 2.225 0.000
6.069 2.225 3.169
6.648 5.429 4.753
6.648 7.921 1.584
9.351 0.408 4.753
9.351 4.042 1.584
```

=====

- Among the records above, which one has the highest raw total energy?
  BaMgCdIn2